Record 1
# Pd2PtC2

A relaxed Pd2PtC2 crystal (GGA-PBEsol, Alexandria).

## Properties
* energy of formation: 0.836 eV/atom
* calculated density: 12.7 Mg/m³
* DOS(E_F): 4.64 states/eV/cell

Unit cell a=3.887 b=3.887 c=7.503 alpha=90.00 beta=90.00 gamma=90.00
Element x y z (fractional)
Pd1 0.000 0.500 0.250
Pd2 0.000 0.500 0.750
Pd3 0.500 0.000 0.250
Pd4 0.500 0.000 0.750
Pt1 0.000 0.000 0.000
Pt2 0.500 0.500 0.500
C1 0.000 0.000 0.405
C2 0.000 0.000 0.595
C3 0.500 0.500 0.095
C4 0.500 0.500 0.905

***

Record 2
# Rb2PdC

A relaxed Rb2PdC crystal (GGA-PBEsol, Alexandria).

## Properties
* energy of formation: 0.486 eV/atom
* calculated density: 3.5 Mg/m³
* DOS(E_F): 4.07 states/eV/cell

Unit cell a=12.001 b=12.001 c=3.851 alpha=90.00 beta=90.00 gamma=90.00
Element x y z (fractional)
Rb1 0.048 0.750 0.125
Rb2 0.250 0.048 0.875
Rb3 0.250 0.452 0.375
Rb4 0.452 0.750 0.625
Rb5 0.548 0.250 0.625
Rb6 0.750 0.548 0.375
Rb7 0.750 0.952 0.875
Rb8 0.952 0.250 0.125
Pd1 0.000 0.000 0.500
Pd2 0.000 0.500 0.750
Pd3 0.500 0.000 0.250
Pd4 0.500 0.500 0.000
C1 0.000 0.000 0.000
C2 0.000 0.500 0.250
C3 0.500 0.000 0.750
C4 0.500 0.500 0.500

***

Record 3
# Rb2PdC2

A relaxed Rb2PdC2 crystal (GGA-PBEsol, Alexandria).

## Properties
* energy of formation: 0.081 eV/atom
* calculated density: 3.9 Mg/m³

Unit cell a=5.339 b=5.339 c=5.235 alpha=90.00 beta=90.00 gamma=120.00
Element x y z (fractional)
Rb1 0.333 0.667 0.221
Rb2 0.667 0.333 0.779
Pd1 0.000 0.000 0.500
C1 0.000 0.000 0.122
C2 0.000 0.000 0.878

***

Record 4
# Re3PdC

A relaxed Re3PdC crystal (GGA-PBEsol, Alexandria).

## Properties
* energy of formation: 0.316 eV/atom
* calculated density: 17.1 Mg/m³
* DOS(E_F): 4.77 states/eV/cell

Unit cell a=4.039 b=4.039 c=4.039 alpha=90.00 beta=90.00 gamma=90.00
Element x y z (fractional)
Re1 0.000 0.000 0.500
Re2 0.000 0.500 0.000
Re3 0.500 0.000 0.000
Pd1 0.500 0.500 0.500
C1 0.000 0.000 0.000

***

no.,total magnetic moment (μB per cell)
1,0.0
2,0.0
3,0.0
4,0.0